Entry 1:
Entry from the Alexandria database: DyAlNi at its PBEsol-relaxed geometry (SCAN).

Unit cell a=6.8511 b=6.8511 c=3.8525 alpha=90.00 beta=90.00 gamma=120.00
With the nearest neighbours (Å) after each atom.
Sites, in units of the cell vectors:
Dy  0.0000  0.5822  0.0000  5 Ni 2.82-2.86, 6 Al 3.06-3.14
Dy  0.4178  0.4178  0.0000  5 Ni 2.82-2.86, 6 Al 3.06-3.14
Dy  0.5822  0.0000  0.0000  5 Ni 2.82-2.86, 6 Al 3.06-3.14
Al  0.0000  0.2356  0.5000  4 Ni 2.51-2.68, 2 Al 2.80
Al  0.2356  0.0000  0.5000  4 Ni 2.51-2.68, 2 Al 2.80
Al  0.7644  0.7644  0.5000  4 Ni 2.51-2.68, 2 Al 2.80
Ni  0.0000  0.0000  0.0000  6 Al 2.51
Ni  0.3333  0.6667  0.5000  3 Al 2.68, 6 Dy 2.82
Ni  0.6667  0.3333  0.5000  3 Al 2.68, 6 Dy 2.82

Output
Space-group type: P-62m (189)
Formation enthalpy at 0 K in kJ per mole of atoms: -63
V in Å³ per cell: 157
M_tot in μB/cell: 0.00

Entry 2:
Entry from the Alexandria database: DyAlNi4 at its PBEsol-relaxed geometry (SCAN).

Unit cell a=4.9252 b=8.3043 c=3.9691 alpha=90.00 beta=90.00 gamma=90.00
With the nearest neighbours (Å) after each atom.
Sites, in units of the cell vectors:
Dy  0.0000  0.0000  0.0000  6 Ni 2.74-2.84
Dy  0.5000  0.5000  0.0000  6 Ni 2.74-2.84
Al  0.0000  0.5000  0.5000  8 Ni 2.41-2.43
Al  0.5000  0.0000  0.5000  8 Ni 2.41-2.43
Ni  0.0000  0.3304  0.0000  4 Ni 2.43, 2 Al 2.43
Ni  0.0000  0.6696  0.0000  4 Ni 2.43, 2 Al 2.43
Ni  0.2500  0.2500  0.5000  2 Al 2.41, 6 Ni 2.43-2.46
Ni  0.2500  0.7500  0.5000  2 Al 2.41, 6 Ni 2.43-2.46
Ni  0.5000  0.1696  0.0000  4 Ni 2.43, 2 Al 2.43
Ni  0.5000  0.8304  0.0000  4 Ni 2.43, 2 Al 2.43
Ni  0.7500  0.2500  0.5000  2 Al 2.41, 6 Ni 2.43-2.46
Ni  0.7500  0.7500  0.5000  2 Al 2.41, 6 Ni 2.43-2.46

Output
Space-group type: Cmmm (65)
Formation enthalpy at 0 K in kJ per mole of atoms: -53
V in Å³ per cell: 162
M_tot in μB/cell: 0.00

Entry 3:
Entry from the Alexandria database: Dy3Al2Ni6 at its PBEsol-relaxed geometry (SCAN).

Unit cell a=7.5991 b=7.5991 c=7.5991 alpha=109.47 beta=109.47 gamma=109.47
With the nearest neighbours (Å) after each atom.
Sites, in units of the cell vectors:
Dy  0.0000  0.2915  0.2915  8 Ni 2.73-2.98
Dy  0.0000  0.7085  0.7085  8 Ni 2.73-2.98
Dy  0.2915  0.0000  0.2915  8 Ni 2.73-2.98
Dy  0.2915  0.2915  0.0000  8 Ni 2.73-2.98
Dy  0.7085  0.0000  0.7085  8 Ni 2.73-2.98
Dy  0.7085  0.7085  0.0000  8 Ni 2.73-2.98
Al  0.0000  0.0000  0.5000  6 Ni 2.44
Al  0.0000  0.5000  0.0000  6 Ni 2.44
Al  0.5000  0.0000  0.0000  6 Ni 2.44
Al  0.5000  0.5000  0.5000  6 Ni 2.44
Ni  0.0000  0.3367  0.6633  2 Al 2.44, 4 Ni 2.53, 2 Dy 2.73
Ni  0.0000  0.6633  0.3367  2 Al 2.44, 4 Ni 2.53, 2 Dy 2.73
Ni  0.3266  0.6633  0.6633  2 Al 2.44, 4 Ni 2.53, 2 Dy 2.73
Ni  0.3367  0.0000  0.6633  2 Al 2.44, 4 Ni 2.53, 2 Dy 2.73
Ni  0.3367  0.3367  0.6734  2 Al 2.44, 4 Ni 2.53, 2 Dy 2.73
Ni  0.3367  0.6633  0.0000  2 Al 2.44, 4 Ni 2.53, 2 Dy 2.73
Ni  0.3367  0.6734  0.3367  2 Al 2.44, 4 Ni 2.53, 2 Dy 2.73
Ni  0.6633  0.0000  0.3367  2 Al 2.44, 4 Ni 2.53, 2 Dy 2.73
Ni  0.6633  0.3266  0.6633  2 Al 2.44, 4 Ni 2.53, 2 Dy 2.73
Ni  0.6633  0.3367  0.0000  2 Al 2.44, 4 Ni 2.53, 2 Dy 2.73
Ni  0.6633  0.6633  0.3266  2 Al 2.44, 4 Ni 2.53, 2 Dy 2.73
Ni  0.6734  0.3367  0.3367  2 Al 2.44, 4 Ni 2.53, 2 Dy 2.73

Output
Space-group type: Im-3m (229)
Formation enthalpy at 0 K in kJ per mole of atoms: -58
V in Å³ per cell: 338
M_tot in μB/cell: 0.00

Entry 4:
Entry from the Alexandria database: DyAl4Ni at its PBEsol-relaxed geometry (SCAN).

Unit cell a=7.9019 b=7.9019 c=6.5370 alpha=90.00 beta=90.00 gamma=150.43
With the nearest neighbours (Å) after each atom.
Sites, in units of the cell vectors:
Dy  0.1178  0.8822  0.7500  11 Al 2.96-3.23, 2 Ni 3.12
Dy  0.8822  0.1178  0.2500  11 Al 2.96-3.23, 2 Ni 3.12
Al  0.0760  0.9240  0.2500  1 Ni 2.30
Al  0.3112  0.6888  0.5521  3 Ni 2.36-2.46, 1 Al 2.59
Al  0.3112  0.6888  0.9479  3 Ni 2.36-2.46, 1 Al 2.59
Al  0.5000  0.5000  0.0000  6 Al 2.84-2.90, 4 Dy 3.16
Al  0.5000  0.5000  0.5000  6 Al 2.84-2.90, 4 Dy 3.16
Al  0.6888  0.3112  0.0521  3 Ni 2.36-2.46, 1 Al 2.59
Al  0.6888  0.3112  0.4479  3 Ni 2.36-2.46, 1 Al 2.59
Al  0.9240  0.0760  0.7500  1 Ni 2.30
Ni  0.2262  0.7738  0.2500  7 Al 2.30-2.46
Ni  0.7738  0.2262  0.7500  7 Al 2.30-2.46

Output
Space-group type: Cmcm (63)
Formation enthalpy at 0 K in kJ per mole of atoms: -59
V in Å³ per cell: 201
M_tot in μB/cell: 0.01

> What is the formula in the third record?

Dy3Al2Ni6

> Which formula does entry 2 have?

DyAlNi4

Repeat the second record exactly.
Entry from the Alexandria database: DyAlNi4 at its PBEsol-relaxed geometry (SCAN).

Unit cell a=4.9252 b=8.3043 c=3.9691 alpha=90.00 beta=90.00 gamma=90.00
With the nearest neighbours (Å) after each atom.
Sites, in units of the cell vectors:
Dy  0.0000  0.0000  0.0000  6 Ni 2.74-2.84
Dy  0.5000  0.5000  0.0000  6 Ni 2.74-2.84
Al  0.0000  0.5000  0.5000  8 Ni 2.41-2.43
Al  0.5000  0.0000  0.5000  8 Ni 2.41-2.43
Ni  0.0000  0.3304  0.0000  4 Ni 2.43, 2 Al 2.43
Ni  0.0000  0.6696  0.0000  4 Ni 2.43, 2 Al 2.43
Ni  0.2500  0.2500  0.5000  2 Al 2.41, 6 Ni 2.43-2.46
Ni  0.2500  0.7500  0.5000  2 Al 2.41, 6 Ni 2.43-2.46
Ni  0.5000  0.1696  0.0000  4 Ni 2.43, 2 Al 2.43
Ni  0.5000  0.8304  0.0000  4 Ni 2.43, 2 Al 2.43
Ni  0.7500  0.2500  0.5000  2 Al 2.41, 6 Ni 2.43-2.46
Ni  0.7500  0.7500  0.5000  2 Al 2.41, 6 Ni 2.43-2.46

Output
Space-group type: Cmmm (65)
Formation enthalpy at 0 K in kJ per mole of atoms: -53
V in Å³ per cell: 162
M_tot in μB/cell: 0.00